Below is crystalline Na2AsWO6 at its relaxed geometry, with properties calculated at the PBE with a Hubbard U level.

Output
- crystal system = tetragonal
- total magnetization (Bohr magnetons per cell) = 0.00
- total energy (eV/atom) = -6.056

Unit cell a=5.565 b=5.565 c=3.897 alpha=90.00 beta=90.00 gamma=90.00
Fractional coordinates of all 10 atoms:
Na1 0.000 0.500 0.000
Na2 0.500 0.000 0.000
As1 0.000 0.000 0.500
W1 0.500 0.500 0.500
O1 0.000 0.000 0.000
O2 0.255 0.255 0.500
O3 0.255 0.745 0.500
O4 0.500 0.500 0.000
O5 0.745 0.255 0.500
O6 0.745 0.745 0.500